The following is a PBE calculation of an optimized crystal structure of Ho5ZnS4, from Alexandria.

Computed properties:
Crystal system: monoclinic
ρ, g cm⁻³: 7.863
Space-group type: C2/m
Formation energy (no corrections), meV/atom: -1633

```
data_Ho5ZnS4
_space_group_name_H-M_alt 'P 1'
_space_group_IT_number 1
_cell_length_a 3.870
_cell_length_b 6.858
_cell_length_c 8.829
_cell_angle_alpha 75.74
_cell_angle_beta 77.34
_cell_angle_gamma 73.61
loop_
_space_group_symop_operation_xyz
'x,y,z'
loop_
_atom_site_label
_atom_site_fract_x
_atom_site_fract_y
_atom_site_fract_z
_atom_site_occupancy
Ho1 0.801 0.096 0.301 1
Ho2 0.394 0.314 0.898 1
Ho3 0.000 0.500 0.500 1
Ho4 0.606 0.686 0.102 1
Ho5 0.199 0.904 0.699 1
Zn1 0.000 0.000 0.000 1
S1 0.801 0.605 0.793 1
S2 0.601 0.203 0.595 1
S3 0.199 0.395 0.207 1
S4 0.399 0.797 0.405 1
```


The following is a PBE calculation of an optimized crystal structure of Al6C7, from Alexandria.

Computed properties:
Crystal system: trigonal
ρ, g cm⁻³: 2.440
Formation enthalpy at 0 K, eV/atom: 0.906
Space-group type: R-3m

```
data_Al6C7
_space_group_name_H-M_alt 'P 1'
_space_group_IT_number 1
_cell_length_a 10.619
_cell_length_b 10.619
_cell_length_c 10.619
_cell_angle_alpha 23.52
_cell_angle_beta 23.52
_cell_angle_gamma 23.52
loop_
_space_group_symop_operation_xyz
'x,y,z'
loop_
_atom_site_label
_atom_site_fract_x
_atom_site_fract_y
_atom_site_fract_z
_atom_site_occupancy
Al1 0.320 0.320 0.320 1
Al2 0.761 0.761 0.761 1
Al3 0.239 0.239 0.239 1
Al4 0.850 0.850 0.850 1
Al5 0.680 0.680 0.680 1
Al6 0.150 0.150 0.150 1
C1 0.500 0.500 0.843 1
C2 0.500 0.500 0.157 1
C3 0.500 0.843 0.500 1
C4 0.500 0.157 0.500 1
C5 0.157 0.500 0.500 1
C6 0.500 0.500 0.500 1
C7 0.843 0.500 0.500 1
```


The following is a PBE calculation of an optimized crystal structure of FeSiGe2Ir, from Alexandria.

Computed properties:
Crystal system: tetragonal
ρ, g cm⁻³: 6.551
Space-group type: P4/mmm
Formation energy (no corrections), meV/atom: 839

```
data_FeSiGe2Ir
_space_group_name_H-M_alt 'P 1'
_space_group_IT_number 1
_cell_length_a 4.833
_cell_length_b 4.574
_cell_length_c 4.833
_cell_angle_alpha 90.00
_cell_angle_beta 90.00
_cell_angle_gamma 90.00
loop_
_space_group_symop_operation_xyz
'x,y,z'
loop_
_atom_site_label
_atom_site_fract_x
_atom_site_fract_y
_atom_site_fract_z
_atom_site_occupancy
Ge1 0.000 0.000 0.500 1
Ge2 0.500 0.000 0.000 1
Fe1 0.500 0.500 0.500 1
Si1 0.000 0.500 0.000 1
Ir1 0.000 0.000 0.000 1
```


The following is a PBE calculation of an optimized crystal structure of AlIrS2, from Alexandria.

Computed properties:
Crystal system: trigonal
ρ, g cm⁻³: 6.950
Space-group type: R-3m
Formation energy (no corrections), meV/atom: -270

```
data_AlIrS2
_space_group_name_H-M_alt 'P 1'
_space_group_IT_number 1
_cell_length_a 7.536
_cell_length_b 7.536
_cell_length_c 7.536
_cell_angle_alpha 25.09
_cell_angle_beta 25.09
_cell_angle_gamma 25.09
loop_
_space_group_symop_operation_xyz
'x,y,z'
loop_
_atom_site_label
_atom_site_fract_x
_atom_site_fract_y
_atom_site_fract_z
_atom_site_occupancy
Al1 0.500 0.500 0.500 1
Ir1 0.000 0.000 0.000 1
S1 0.103 0.103 0.103 1
S2 0.897 0.897 0.897 1
```


The following is a PBE calculation of an optimized crystal structure of Ho8AgRh2, from Alexandria.

Computed properties:
Crystal system: monoclinic
ρ, g cm⁻³: 9.188
Formation enthalpy at 0 K, eV/atom: -0.327
Space-group type: Cm

```
data_Ho8AgRh2
_space_group_name_H-M_alt 'P 1'
_space_group_IT_number 1
_cell_length_a 5.553
_cell_length_b 7.762
_cell_length_c 7.762
_cell_angle_alpha 113.82
_cell_angle_beta 98.29
_cell_angle_gamma 98.29
loop_
_space_group_symop_operation_xyz
'x,y,z'
loop_
_atom_site_label
_atom_site_fract_x
_atom_site_fract_y
_atom_site_fract_z
_atom_site_occupancy
Ag1 0.002 0.003 0.003 1
Ho1 0.000 0.242 0.764 1
Ho2 0.809 0.622 0.622 1
Ho3 0.414 0.927 0.672 1
Ho4 0.414 0.672 0.927 1
Ho5 0.191 0.384 0.384 1
Ho6 0.000 0.764 0.242 1
Ho7 0.586 0.335 0.079 1
Ho8 0.586 0.079 0.335 1
Rh1 0.500 0.306 0.700 1
Rh2 0.500 0.700 0.306 1
```


The following is a PBE calculation of an optimized crystal structure of NaLiGe2Sb, from Alexandria.

Computed properties:
Crystal system: tetragonal
ρ, g cm⁻³: 4.063
Space-group type: P4/mmm
Formation energy (no corrections), meV/atom: 597

```
data_NaLiGe2Sb
_space_group_name_H-M_alt 'P 1'
_space_group_IT_number 1
_cell_length_a 5.160
_cell_length_b 4.559
_cell_length_c 5.160
_cell_angle_alpha 90.00
_cell_angle_beta 90.00
_cell_angle_gamma 90.00
loop_
_space_group_symop_operation_xyz
'x,y,z'
loop_
_atom_site_label
_atom_site_fract_x
_atom_site_fract_y
_atom_site_fract_z
_atom_site_occupancy
Sb1 0.500 0.500 0.500 1
Ge1 0.000 0.000 0.500 1
Ge2 0.500 0.000 0.000 1
Na1 0.000 0.000 0.000 1
Li1 0.000 0.500 0.000 1
```


no.,final energy (eV/atom)
1,-5.70
2,-5.79
3,-5.56
4,-5.48
5,-5.25
6,-2.72